(1)
This record from Alexandria via LeMat-Bulk describes a relaxed Pr7Nd2Mg2 crystal. The functional is PBE.

Results
The density of states at the Fermi level comes out at 1.215 states/eV per atom. Its calculated volume is 374 Å³/f.u. As for the calculated density: 5.871 g cm⁻³. Its energy of formation is 0.0976 eV per atom.

Unit cell a=8.0292 b=8.0292 c=6.2746 alpha=104.67 beta=104.67 gamma=94.34
With the nearest neighbours (Å) after each atom.
Fractional positions:
Pr (0.0000, 0.0000, 0.0000)  6 Pr 3.40-3.56
Pr (0.0636, 0.5800, 0.8136)  2 Mg 3.24-3.34, 3 Pr 3.27-3.40
Pr (0.2053, 0.2053, 0.5943)  5 Pr 3.38-3.77, 2 Mg 3.45, 1 Nd 3.65
Pr (0.4200, 0.9364, 0.1864)  2 Mg 3.24-3.34, 3 Pr 3.27-3.40
Pr (0.5800, 0.0636, 0.8136)  2 Mg 3.24-3.34, 3 Pr 3.27-3.40
Pr (0.7947, 0.7947, 0.4057)  5 Pr 3.38-3.77, 2 Mg 3.45, 1 Nd 3.65
Pr (0.9364, 0.4200, 0.1864)  2 Mg 3.24-3.34, 3 Pr 3.27-3.40
Nd (0.4191, 0.4191, 0.2012)  2 Nd 3.50-3.58, 2 Mg 3.60, 6 Pr 3.65-3.85
Nd (0.5809, 0.5809, 0.7988)  2 Nd 3.50-3.58, 2 Mg 3.60, 6 Pr 3.65-3.85
Mg (0.2329, 0.7671, 0.5000)  6 Pr 3.24-3.45, 2 Nd 3.60
Mg (0.7671, 0.2329, 0.5000)  6 Pr 3.24-3.45, 2 Nd 3.60


(2)
This record from Alexandria via LeMat-Bulk describes a relaxed Pr4NdMg3 crystal. The functional is PBE.

Results
The density of states at the Fermi level comes out at 1.275 states/eV per atom. Its calculated volume is 252 Å³/f.u. As for the calculated density: 5.143 g cm⁻³. Its energy of formation is -0.0397 eV per atom.

Unit cell a=3.8673 b=5.6841 c=11.4690 alpha=90.00 beta=90.00 gamma=90.00
With the nearest neighbours (Å) after each atom.
Fractional positions:
Pr (0.0000, 0.0000, 0.0000)  8 Mg 3.44-3.45
Pr (0.0000, 0.0000, 0.5000)  4 Nd 3.44, 4 Mg 3.47
Pr (0.0000, 0.5000, 0.2358)  6 Mg 3.32-3.44, 2 Nd 3.59
Pr (0.0000, 0.5000, 0.7642)  6 Mg 3.32-3.44, 2 Nd 3.59
Nd (0.5000, 0.5000, 0.5000)  8 Pr 3.44-3.59
Mg (0.5000, 0.0000, 0.2490)  8 Pr 3.44-3.47
Mg (0.5000, 0.0000, 0.7510)  8 Pr 3.44-3.47
Mg (0.5000, 0.5000, 0.0000)  8 Pr 3.32-3.44


(3)
This record from Alexandria via LeMat-Bulk describes a relaxed Pr8NdMg2 crystal. The functional is PBE.

Results
The density of states at the Fermi level comes out at 1.397 states/eV per atom. Its calculated volume is 375 Å³/f.u. As for the calculated density: 5.845 g cm⁻³. For the energy above the most stable polymorph in this dataset, the calculation gives 0 meV/atom. Its energy of formation is 0.0046 eV per atom.

Unit cell a=9.1854 b=9.1854 c=8.5435 alpha=111.38 beta=111.38 gamma=34.25
With the nearest neighbours (Å) after each atom.
Fractional positions:
Pr (0.0509, 0.0509, 0.2352)  1 Mg 3.50, 9 Pr 3.60-3.84, 2 Nd 3.84
Pr (0.1466, 0.1466, 0.7029)  3 Mg 3.37-3.46, 5 Pr 3.64-3.70, 2 Nd 3.68
Pr (0.3139, 0.3139, 0.5506)  1 Mg 3.33, 7 Pr 3.41-3.69, 1 Nd 3.46
Pr (0.4011, 0.4011, 0.0335)  3 Mg 3.44-3.49, 1 Nd 3.69, 8 Pr 3.71-3.84
Pr (0.5989, 0.5989, 0.9665)  3 Mg 3.44-3.49, 1 Nd 3.69, 8 Pr 3.71-3.84
Pr (0.6861, 0.6861, 0.4494)  1 Mg 3.33, 7 Pr 3.41-3.69, 1 Nd 3.46
Pr (0.8534, 0.8534, 0.2971)  3 Mg 3.37-3.46, 5 Pr 3.64-3.70, 2 Nd 3.68
Pr (0.9491, 0.9491, 0.7648)  1 Mg 3.50, 9 Pr 3.60-3.84, 2 Nd 3.84
Nd (0.5000, 0.5000, 0.5000)  12 Pr 3.46-3.84
Mg (0.2251, 0.2251, 0.1301)  8 Pr 3.33-3.50
Mg (0.7749, 0.7749, 0.8699)  8 Pr 3.33-3.50


- Look up the calculated density of the third one.
  5.845 g cm⁻³


- Which of these has the lowest calculated density?
  Pr4NdMg3